Record 1
Below is RbYCuCl6 after structural relaxation, with properties calculated at the PBE level.

Output
As for the uncorrected formation energy: -1.62 eV per atom.

abc: 7.173 11.003 7.358
angles: 90.00 96.22 90.00
Space group C2 (No. 5)
Symmetry-distinct sites (fractional):
Rb1 0.000 0.000 0.000
Y1 0.000 0.652 0.500
Cu1 0.000 0.304 0.500
Cl1 0.114 0.454 0.702
Cl2 0.179 0.159 0.664
Cl3 0.179 0.781 0.752



Record 2
Below is TcPtW2 after structural relaxation, with properties calculated at the PBE level.

Output
As for the energy above the most stable polymorph in this dataset: 799 meV/atom. As for the calculated formation energy: 0.67 eV/atom.

abc: 7.073 7.073 5.466
angles: 90.00 90.00 90.00
Space group I-42d (No. 122)
Symmetry-distinct sites (fractional):
Tc1 0.000 0.000 0.000
Pt1 0.000 0.000 0.500
W1 0.235 0.250 0.125



Record 3
Below is LiPaTlCl6 after structural relaxation, with properties calculated at the PBE level.

Output
As for the uncorrected formation energy: -1.71 eV per atom.

abc: 6.8675 6.8675 14.2722
angles: 90.00 90.00 120.00
Space group P-31c (No. 163)
Symmetry-distinct sites (fractional):
Li1 0.3333 0.6667 0.2500
Pa1 0.3333 0.6667 0.7500
Tl1 0.0000 0.0000 0.0000
Cl1 0.0030 0.3696 0.1447



Record 4
Below is Hf2ZnB2 after structural relaxation, with properties calculated at the PBE level.

Output
As for the calculated formation energy: -0.59 eV/atom.

abc: 6.184 6.184 3.422
angles: 90.00 90.00 90.00
Space group P4/mbm (No. 127)
Symmetry-distinct sites (fractional):
Hf1 0.182 0.318 0.000
Zn1 0.000 0.000 0.500
B1 0.100 0.600 0.500



Record 5
Below is CeGeIr4 after structural relaxation, with properties calculated at the PBE level.

Output
As for the energy above the most stable polymorph in this dataset: 0 meV/atom. As for the calculated formation energy: -0.38 eV/atom.

abc: 7.521 4.019 6.791
angles: 90.00 90.00 90.00
Space group Pmma (No. 51)
Symmetry-distinct sites (fractional):
Ce1 0.250 0.000 0.151
Ge1 0.250 0.000 0.733
Ir1 0.000 0.000 0.500
Ir2 0.038 0.500 0.805
Ir3 0.250 0.500 0.453



Record 6
Below is PSe after structural relaxation, with properties calculated at the PBE level.

Output
As for the energy above the most stable polymorph in this dataset: 61 meV/atom. As for the uncorrected formation energy: -0.02 eV per atom.

abc: 12.442 3.371 5.781
angles: 90.00 97.19 90.00
Space group C2/m (No. 12)
Symmetry-distinct sites (fractional):
P1 0.013 0.000 0.194
Se1 0.143 0.500 0.218